The following is a DFT calculation (PBE) of an optimized crystal structure of Pm4Ho2Mg.

Cell and atoms, written as POSCAR:
```
Pm4Ho2Mg
1.0
3.6121 0.0000 0.0000
0.0000 21.5936 0.0000
-2.2599 0.0000 11.4902
Pm Ho Mg
16 8 4
Direct
0.0780 0.2179 0.0228
0.0780 0.2821 0.5228
0.2184 0.0606 0.9036
0.2184 0.4394 0.4036
0.3661 0.2028 0.3144
0.3661 0.2972 0.8144
0.4081 0.5037 0.8470
0.4081 0.9963 0.3470
0.5919 0.0037 0.6530
0.5919 0.4963 0.1530
0.6339 0.7028 0.1856
0.6339 0.7972 0.6856
0.7816 0.5606 0.5964
0.7816 0.9394 0.0964
0.9220 0.7179 0.4772
0.9220 0.7821 0.9772
0.2155 0.5944 0.3351
0.2155 0.9056 0.8351
0.3251 0.6679 0.7935
0.3251 0.8321 0.2935
0.6749 0.1679 0.7065
0.6749 0.3321 0.2065
0.7845 0.0944 0.1649
0.7845 0.4056 0.6649
0.0022 0.6085 0.0135
0.0022 0.8915 0.5135
0.9978 0.1085 0.4865
0.9978 0.3915 0.9865
```

Results
The space-group type is No. 14. For the energy above the most stable polymorph in this dataset, the calculation gives 0.0 meV per atom.


The following is a DFT calculation (PBE) of an optimized crystal structure of PmHo5Mg4.

Cell and atoms, written as POSCAR:
```
PmHo5Mg4
1.0
3.7216 0.0000 0.0000
0.0000 3.7216 0.0000
0.0000 0.0000 20.3212
Pm Ho Mg
1 5 4
Direct
0.0000 0.0000 0.0000
0.5000 0.5000 0.1206
0.5000 0.5000 0.3113
0.5000 0.5000 0.5000
0.5000 0.5000 0.6887
0.5000 0.5000 0.8794
0.0000 0.0000 0.2168
0.0000 0.0000 0.4051
0.0000 0.0000 0.5949
0.0000 0.0000 0.7832
```

Results
For the raw total energy, the calculation gives -34.49 eV for the cell shown. The space-group type is No. 123.


The following is a DFT calculation (PBE) of an optimized crystal structure of Pm3Ho12Mg.

Cell and atoms, written as POSCAR:
```
Pm3Ho12Mg
1.0
4.9934 0.0000 0.0000
0.0000 4.9934 0.0000
0.0000 0.0000 20.0143
Pm Ho Mg
3 12 1
Direct
0.0000 0.0000 0.0000
0.0000 0.0000 0.2522
0.0000 0.0000 0.7478
0.0000 0.5000 0.1266
0.0000 0.5000 0.3782
0.0000 0.5000 0.6218
0.0000 0.5000 0.8734
0.5000 0.0000 0.1266
0.5000 0.0000 0.3782
0.5000 0.0000 0.6218
0.5000 0.0000 0.8734
0.5000 0.5000 0.0000
0.5000 0.5000 0.2554
0.5000 0.5000 0.5000
0.5000 0.5000 0.7446
0.0000 0.0000 0.5000
```

Results
For the raw total energy, the calculation gives -70.42 eV for the cell shown. The space-group type is No. 123.


The following is a DFT calculation (PBE) of an optimized crystal structure of Pm12Ho3Mg.

Cell and atoms, written as POSCAR:
```
Pm12Ho3Mg
1.0
5.0855 0.0000 0.0000
0.0000 5.0855 0.0000
0.0000 0.0000 20.4388
Pm Ho Mg
12 3 1
Direct
0.0000 0.0000 0.0000
0.0000 0.0000 0.2468
0.0000 0.0000 0.5000
0.0000 0.0000 0.7532
0.0000 0.5000 0.1232
0.0000 0.5000 0.3741
0.0000 0.5000 0.6259
0.0000 0.5000 0.8768
0.5000 0.0000 0.1232
0.5000 0.0000 0.3741
0.5000 0.0000 0.6259
0.5000 0.0000 0.8768
0.5000 0.5000 0.2481
0.5000 0.5000 0.5000
0.5000 0.5000 0.7519
0.5000 0.5000 0.0000
```

Results
For the raw total energy, the calculation gives -72.14 eV for the cell shown. The space-group type is No. 123.


The following is a DFT calculation (PBE) of an optimized crystal structure of Pm3Ho4Mg2.

Cell and atoms, written as POSCAR:
```
Pm3Ho4Mg2
1.0
7.4564 -2.4675 0.0000
7.4564 2.4675 0.0000
-2.5255 0.0000 7.4969
Pm Ho Mg
3 4 2
Direct
0.0000 0.0000 0.0000
0.1122 0.1122 0.6644
0.8878 0.8878 0.3356
0.2214 0.2214 0.3302
0.4430 0.4430 0.6658
0.5570 0.5570 0.3342
0.7786 0.7786 0.6698
0.3304 0.3304 0.9999
0.6696 0.6696 0.0001
```

Results
For the raw total energy, the calculation gives -35.66 eV for the cell shown. The space-group type is No. 12.


The following is a DFT calculation (PBE) of an optimized crystal structure of Pm2HoMg.

Cell and atoms, written as POSCAR:
```
Pm2HoMg
1.0
1.7741 1.0243 11.4773
-1.7741 1.0243 11.4773
0.0000 -2.0486 11.4773
Pm Ho Mg
2 1 1
Direct
0.0000 0.0000 0.0000
0.1644 0.1644 0.1644
0.5825 0.5825 0.5825
0.4155 0.4155 0.4155
```

Results
The space-group type is No. 160. For the energy above the most stable polymorph in this dataset, the calculation gives 69.0 meV per atom.


The following is a DFT calculation (PBE) of an optimized crystal structure of Pm5HoMg3.

Cell and atoms, written as POSCAR:
```
Pm5HoMg3
1.0
9.5488 0.0000 0.0000
-4.7744 8.2695 0.0000
0.0000 0.0000 7.0159
Pm Ho Mg
10 2 6
Direct
0.0000 0.3315 0.2500
0.0000 0.6685 0.7500
0.3315 0.0000 0.2500
0.3315 0.3315 0.7500
0.3333 0.6667 0.0000
0.3333 0.6667 0.5000
0.6667 0.3333 0.0000
0.6667 0.3333 0.5000
0.6685 0.0000 0.7500
0.6685 0.6685 0.2500
0.0000 0.0000 0.0000
0.0000 0.0000 0.5000
0.0000 0.3310 0.7500
0.0000 0.6690 0.2500
0.3310 0.0000 0.7500
0.3310 0.3310 0.2500
0.6690 0.0000 0.2500
0.6690 0.6690 0.7500
```

Results
For the raw total energy, the calculation gives -66.27 eV for the cell shown. The space-group type is No. 193.


The following is a DFT calculation (PBE) of an optimized crystal structure of Pm12Ho5Mg2.

Cell and atoms, written as POSCAR:
```
Pm12Ho5Mg2
1.0
7.8779 -4.5941 0.0000
7.8779 4.5941 0.0000
-0.3667 0.0000 8.5651
Pm Ho Mg
12 5 2
Direct
0.0592 0.0592 0.3407
0.0677 0.6779 0.3200
0.1663 0.5358 0.7640
0.3221 0.9323 0.6800
0.4198 0.4198 0.1185
0.4642 0.8337 0.2360
0.5358 0.1663 0.7640
0.5802 0.5802 0.8815
0.6779 0.0677 0.3200
0.8337 0.4642 0.2360
0.9323 0.3221 0.6800
0.9408 0.9408 0.6593
0.2030 0.2030 0.0258
0.2682 0.2682 0.4282
0.5000 0.5000 0.5000
0.7318 0.7318 0.5718
0.7970 0.7970 0.9742
0.1637 0.8363 0.0000
0.8363 0.1637 0.0000
```

Results
For the raw total energy, the calculation gives -81.33 eV for the cell shown. The space-group type is No. 12.


The following is a DFT calculation (PBE) of an optimized crystal structure of PmHo3Mg6.

Cell and atoms, written as POSCAR:
```
PmHo3Mg6
1.0
9.2598 0.0000 0.0000
0.0000 5.2847 0.0000
-3.1053 0.0000 10.8429
Pm Ho Mg
2 6 12
Direct
0.0536 0.2500 0.3955
0.9464 0.7500 0.6045
0.2503 0.2500 0.9973
0.3516 0.7500 0.7980
0.4563 0.2500 0.6038
0.5437 0.7500 0.3962
0.6484 0.2500 0.2020
0.7497 0.7500 0.0027
0.0494 0.7500 0.9044
0.1469 0.2500 0.7024
0.1473 0.7500 0.1959
0.2490 0.7500 0.4941
0.3449 0.2500 0.2938
0.4435 0.7500 0.1005
0.5565 0.2500 0.8995
0.6551 0.7500 0.7062
0.7510 0.2500 0.5059
0.8527 0.2500 0.8041
0.8531 0.7500 0.2976
0.9506 0.2500 0.0956
```

Results
For the raw total energy, the calculation gives -57.42 eV for the cell shown. The space-group type is No. 11.


The following is a DFT calculation (PBE) of an optimized crystal structure of Pm3Ho2Mg.

Cell and atoms, written as POSCAR:
```
Pm3Ho2Mg
1.0
3.6174 0.0000 0.0000
0.0000 3.6174 0.0000
0.0000 0.0000 14.4332
Pm Ho Mg
3 2 1
Direct
0.0000 0.0000 0.0000
0.0000 0.0000 0.3463
0.0000 0.0000 0.6537
0.5000 0.5000 0.1739
0.5000 0.5000 0.8261
0.5000 0.5000 0.5000
```

Results
For the raw total energy, the calculation gives -25.10 eV for the cell shown. The space-group type is No. 123.